No. 1
BaLaB3: single point on PBEsol structure, SCAN.

abc: 4.754 4.754 4.754
angles: 90.00 90.00 90.00
Fractional coordinates of all 5 atoms:
Ba1 0.000 0.000 0.000
La1 0.500 0.500 0.500
B1 0.000 0.000 0.500
B2 0.000 0.500 0.000
B3 0.500 0.000 0.000

Values from the calculation:
Volume ... 107.46 Å³ per cell
Formation enthalpy at 0 K ... 45.24 kcal/mol of atoms
Density ... 4.8 g/cm³
E ... -19.0268 eV per atom

***

No. 2
KNiAs2Se: single point on PBEsol structure, SCAN.

abc: 5.221 5.221 5.329
angles: 90.00 90.00 90.00
Fractional coordinates of all 5 atoms:
K1 0.000 0.000 0.000
Ni1 0.500 0.500 0.500
As1 0.000 0.500 0.000
As2 0.500 0.000 0.000
Se1 0.000 0.000 0.500

Values from the calculation:
Volume ... 145.26 Å³ per cell
Density ... 3.7 g/cm³
E ... -15.0767 eV per atom
Raw formation energy ... 1916 meV/atom

***

No. 3
Sc3TeH: single point on PBEsol structure, SCAN.

abc: 4.380 4.380 4.380
angles: 90.00 90.00 90.00
Fractional coordinates of all 5 atoms:
Sc1 0.000 0.000 0.500
Sc2 0.000 0.500 0.000
Sc3 0.500 0.000 0.000
Te1 0.500 0.500 0.500
H1 0.000 0.000 0.000

Values from the calculation:
Volume ... 84.03 Å³ per cell
Density ... 5.2 g/cm³
E ... -17.1863 eV per atom

***

No. 4
SnBiN2: single point on PBEsol structure, SCAN.

abc: 3.332 3.332 20.258
angles: 90.00 90.00 120.00
Fractional coordinates of all 12 atoms:
Sn1 0.000 0.000 0.000
Sn2 0.333 0.667 0.667
Sn3 0.667 0.333 0.333
Bi1 0.000 0.000 0.500
Bi2 0.333 0.667 0.167
Bi3 0.667 0.333 0.833
N1 0.000 0.000 0.387
N2 0.000 0.000 0.613
N3 0.333 0.667 0.053
N4 0.333 0.667 0.280
N5 0.667 0.333 0.720
N6 0.667 0.333 0.947

Values from the calculation:
Volume ... 194.72 Å³ per cell
Density ... 9.1 g/cm³
E ... -32.7747 eV per atom
Raw formation energy ... 496 meV/atom

***

No. 5
Zn5Ni: single point on PBEsol structure, SCAN.

abc: 2.784 2.784 10.190
angles: 90.00 90.00 90.00
Fractional coordinates of all 6 atoms:
Zn1 0.000 0.000 0.000
Zn2 0.000 0.000 0.354
Zn3 0.000 0.000 0.646
Zn4 0.500 0.500 0.176
Zn5 0.500 0.500 0.824
Ni1 0.500 0.500 0.500

Values from the calculation:
Volume ... 79.00 Å³ per cell
Formation enthalpy at 0 K ... -1.21 kcal/mol of atoms
Density ... 8.1 g/cm³
E ... -14.0107 eV per atom

***

No. 6
Sm3TlC: single point on PBEsol structure, SCAN.

abc: 4.978 4.978 4.978
angles: 90.00 90.00 90.00
Fractional coordinates of all 5 atoms:
Sm1 0.000 0.000 0.500
Sm2 0.000 0.500 0.000
Sm3 0.500 0.000 0.000
Tl1 0.500 0.500 0.500
C1 0.000 0.000 0.000

Values from the calculation:
Volume ... 123.39 Å³ per cell
Formation enthalpy at 0 K ... -12.35 kcal/mol of atoms
Density ... 9.0 g/cm³
E ... -43.6925 eV per atom

***

No. 7
NdMgCu4: single point on PBEsol structure, SCAN.

abc: 5.082 5.082 5.082
angles: 60.00 60.00 60.00
Fractional coordinates of all 6 atoms:
Nd1 0.000 0.000 0.000
Mg1 0.250 0.250 0.250
Cu1 0.131 0.623 0.623
Cu2 0.623 0.131 0.623
Cu3 0.623 0.623 0.131
Cu4 0.623 0.623 0.623

Values from the calculation:
Volume ... 92.83 Å³ per cell
Formation enthalpy at 0 K ... -5.00 kcal/mol of atoms
Density ... 7.6 g/cm³
E ... -18.4424 eV per atom

***

No. 8
SrNiPd3: single point on PBEsol structure, SCAN.

abc: 4.974 4.974 4.974
angles: 90.00 90.00 90.00
Fractional coordinates of all 5 atoms:
Sr1 0.000 0.000 0.000
Ni1 0.500 0.500 0.500
Pd1 0.000 0.000 0.500
Pd2 0.000 0.500 0.000
Pd3 0.500 0.000 0.000

Values from the calculation:
Volume ... 123.05 Å³ per cell
Formation enthalpy at 0 K ... 33.87 kcal/mol of atoms
Density ... 6.3 g/cm³
E ... -25.8857 eV per atom